# 1
A relaxed structure of MgBPt3. Source: Alexandria, functional PBE-GGA.

abc: 5.5049 5.5049 5.5295
angles: 94.12 94.12 61.86
Sites, in units of the cell vectors:
Mg: 0.1792 0.8208 0.5000
Mg: 0.8208 0.1792 0.0000
B: 0.0475 0.5456 0.1004
B: 0.5456 0.0475 0.6004
Pt: 0.1588 0.3162 0.4195
Pt: 0.3162 0.1588 0.9195
Pt: 0.3241 0.6664 0.9799
Pt: 0.6664 0.3241 0.4799
Pt: 0.6675 0.8234 0.2629
Pt: 0.8234 0.6675 0.7629

Formation energy from the elements   -55 kJ per mole of atoms
Offset from the most stable computed form   0.014 eV per atom
Space group   Cc
E   -5.8490 eV/atom

---

# 2
A relaxed structure of MgBPt3. Source: Alexandria, functional PBE-GGA.

abc: 6.6473 4.6927 10.2753
angles: 90.00 114.71 90.00
Sites, in units of the cell vectors:
Mg: 0.1701 0.0967 0.1502
Mg: 0.1701 0.4033 0.6502
Mg: 0.8299 0.5967 0.3498
Mg: 0.8299 0.9033 0.8498
B: 0.3932 0.1764 0.4675
B: 0.3932 0.3236 0.9675
B: 0.6068 0.6764 0.0325
B: 0.6068 0.8236 0.5325
Pt: 0.0485 0.1104 0.3861
Pt: 0.0485 0.3896 0.8861
Pt: 0.3077 0.5978 0.3819
Pt: 0.3077 0.9022 0.8819
Pt: 0.4100 0.5775 0.1462
Pt: 0.4100 0.9225 0.6462
Pt: 0.5900 0.0775 0.3538
Pt: 0.5900 0.4225 0.8538
Pt: 0.6923 0.0978 0.1181
Pt: 0.6923 0.4022 0.6181
Pt: 0.9515 0.6104 0.1139
Pt: 0.9515 0.8896 0.6139

Formation energy from the elements   -45 kJ per mole of atoms
Offset from the most stable computed form   0.119 eV per atom
Space group   P2_1/c
E   -5.7440 eV/atom